(i)
First-principles (PBE) data for crystalline SiP2Br at its relaxed geometry, as listed in Alexandria.

CIF file:
```
data_SiP2Br
_chemical_formula_sum 'Si2 P4 Br2'
_cell_length_a 6.555
_cell_length_b 3.542
_cell_length_c 8.206
_cell_angle_alpha 90.00
_cell_angle_beta 98.40
_cell_angle_gamma 90.00
_space_group_name_H-M_alt 'C 1 m 1'
_space_group_IT_number 8
_space_group_name_Hall 'C -2y'
loop_
_atom_site_label
_atom_site_fract_x
_atom_site_fract_y
_atom_site_fract_z
Si1 0.000 0.000 0.000
P1 0.189 0.500 0.160
P2 0.425 0.000 0.301
Br1 0.216 0.000 0.786
```

Total magnetic moment = 0.000 μB/f.u.
Calculated volume = 23.56 Å³ per atom

(ii)
First-principles (PBE) data for crystalline SiP2Br at its relaxed geometry, as listed in Alexandria.

CIF file:
```
data_SiP2Br
_chemical_formula_sum 'Si2 P4 Br2'
_cell_length_a 9.742
_cell_length_b 3.286
_cell_length_c 5.582
_cell_angle_alpha 90.00
_cell_angle_beta 92.79
_cell_angle_gamma 90.00
_space_group_name_H-M_alt 'C 1 2/m 1'
_space_group_IT_number 12
_space_group_name_Hall '-C 2y'
loop_
_atom_site_label
_atom_site_fract_x
_atom_site_fract_y
_atom_site_fract_z
Si1 0.000 0.000 0.000
P1 0.173 0.500 0.921
Br1 0.000 0.500 0.500
```

Total magnetic moment = 0.000 μB/f.u.
Calculated volume = 22.31 Å³ per atom

Which of them is the most stable? Correct choice: (i).

(i)
First-principles (PBE) data for crystalline SiP2Br at its relaxed geometry, as listed in Alexandria.

CIF file:
```
data_SiP2Br
_chemical_formula_sum 'Si2 P4 Br2'
_cell_length_a 3.325
_cell_length_b 3.585
_cell_length_c 16.266
_cell_angle_alpha 90.00
_cell_angle_beta 90.00
_cell_angle_gamma 90.00
_space_group_name_H-M_alt 'I m m 2'
_space_group_IT_number 44
_space_group_name_Hall 'I 2 -2'
loop_
_atom_site_label
_atom_site_fract_x
_atom_site_fract_y
_atom_site_fract_z
Si1 0.000 0.000 0.000
P1 0.000 0.000 0.573
P2 0.000 0.500 0.162
Br1 0.000 0.500 0.883
```

Total magnetic moment = 0.000 μB/f.u.
Calculated volume = 24.24 Å³ per atom

(ii)
First-principles (PBE) data for crystalline SiP2Br at its relaxed geometry, as listed in Alexandria.

CIF file:
```
data_SiP2Br
_chemical_formula_sum 'Si1 P2 Br1'
_cell_length_a 3.179
_cell_length_b 3.213
_cell_length_c 7.881
_cell_angle_alpha 90.00
_cell_angle_beta 90.00
_cell_angle_gamma 90.00
_space_group_name_H-M_alt 'P m m m'
_space_group_IT_number 47
_space_group_name_Hall '-P 2 2'
loop_
_atom_site_label
_atom_site_fract_x
_atom_site_fract_y
_atom_site_fract_z
Si1 0.000 0.000 0.000
P1 0.500 0.500 0.145
Br1 0.000 0.000 0.500
```

Total magnetic moment = 0.000 μB/f.u.
Calculated volume = 20.12 Å³ per atom

Which of them is the most stable? Correct choice: (i).

(i)
First-principles (PBE) data for crystalline SiP2Br at its relaxed geometry, as listed in Alexandria.

CIF file:
```
data_SiP2Br
_chemical_formula_sum 'Si1 P2 Br1'
_cell_length_a 4.431
_cell_length_b 3.612
_cell_length_c 5.366
_cell_angle_alpha 90.00
_cell_angle_beta 107.45
_cell_angle_gamma 90.00
_space_group_name_H-M_alt 'P 1 2/m 1'
_space_group_IT_number 10
_space_group_name_Hall '-P 2y'
loop_
_atom_site_label
_atom_site_fract_x
_atom_site_fract_y
_atom_site_fract_z
Si1 0.000 0.000 0.000
P1 0.373 0.500 0.139
Br1 0.000 0.000 0.500
```

Total magnetic moment = 0.000 μB/f.u.
Calculated volume = 20.48 Å³ per atom

(ii)
First-principles (PBE) data for crystalline SiP2Br at its relaxed geometry, as listed in Alexandria.

CIF file:
```
data_SiP2Br
_chemical_formula_sum 'Si2 P4 Br2'
_cell_length_a 3.277
_cell_length_b 4.467
_cell_length_c 11.316
_cell_angle_alpha 90.00
_cell_angle_beta 90.00
_cell_angle_gamma 90.00
_space_group_name_H-M_alt 'C m m m'
_space_group_IT_number 65
_space_group_name_Hall '-C 2 2'
loop_
_atom_site_label
_atom_site_fract_x
_atom_site_fract_y
_atom_site_fract_z
Si1 0.000 0.000 0.000
P1 0.000 0.500 0.163
Br1 0.000 0.000 0.500
```

Total magnetic moment = 0.000 μB/f.u.
Calculated volume = 20.71 Å³ per atom

(iii)
First-principles (PBE) data for crystalline SiP2Br at its relaxed geometry, as listed in Alexandria.

CIF file:
```
data_SiP2Br
_chemical_formula_sum 'Si2 P4 Br2'
_cell_length_a 3.307
_cell_length_b 4.902
_cell_length_c 9.524
_cell_angle_alpha 90.00
_cell_angle_beta 90.00
_cell_angle_gamma 90.00
_space_group_name_H-M_alt 'I m m m'
_space_group_IT_number 71
_space_group_name_Hall '-I 2 2'
loop_
_atom_site_label
_atom_site_fract_x
_atom_site_fract_y
_atom_site_fract_z
Si1 0.000 0.000 0.000
P1 0.000 0.500 0.318
Br1 0.000 0.000 0.500
```

Total magnetic moment = 0.000 μB/f.u.
Calculated volume = 19.30 Å³ per atom

Which of them is the most stable? Correct choice: (i).

(i)
First-principles (PBE) data for crystalline SiP2Br at its relaxed geometry, as listed in Alexandria.

CIF file:
```
data_SiP2Br
_chemical_formula_sum 'Si4 P8 Br4'
_cell_length_a 6.453
_cell_length_b 6.453
_cell_length_c 8.807
_cell_angle_alpha 90.00
_cell_angle_beta 90.00
_cell_angle_gamma 90.00
_space_group_name_H-M_alt 'I -4 2 d'
_space_group_IT_number 122
_space_group_name_Hall 'I -4 2bw'
loop_
_atom_site_label
_atom_site_fract_x
_atom_site_fract_y
_atom_site_fract_z
Si1 0.000 0.000 0.000
P1 0.180 0.250 0.125
Br1 0.000 0.000 0.500
```

Total magnetic moment = 0.000 μB/f.u.
Calculated volume = 22.92 Å³ per atom

(ii)
First-principles (PBE) data for crystalline SiP2Br at its relaxed geometry, as listed in Alexandria.

CIF file:
```
data_SiP2Br
_chemical_formula_sum 'Si2 P4 Br2'
_cell_length_a 3.600
_cell_length_b 3.600
_cell_length_c 12.440
_cell_angle_alpha 90.00
_cell_angle_beta 90.00
_cell_angle_gamma 90.00
_space_group_name_H-M_alt 'I 4/m m m'
_space_group_IT_number 139
_space_group_name_Hall '-I 4 2'
loop_
_atom_site_label
_atom_site_fract_x
_atom_site_fract_y
_atom_site_fract_z
Si1 0.000 0.000 0.000
P1 0.000 0.500 0.250
Br1 0.000 0.000 0.500
```

Total magnetic moment = 0.000 μB/f.u.
Calculated volume = 20.16 Å³ per atom

(iii)
First-principles (PBE) data for crystalline SiP2Br at its relaxed geometry, as listed in Alexandria.

CIF file:
```
data_SiP2Br
_chemical_formula_sum 'Si1 P2 Br1'
_cell_length_a 4.805
_cell_length_b 4.805
_cell_length_c 3.025
_cell_angle_alpha 90.00
_cell_angle_beta 90.00
_cell_angle_gamma 90.00
_space_group_name_H-M_alt 'P 4/m m m'
_space_group_IT_number 123
_space_group_name_Hall '-P 4 2'
loop_
_atom_site_label
_atom_site_fract_x
_atom_site_fract_y
_atom_site_fract_z
Si1 0.000 0.000 0.000
P1 0.000 0.500 0.500
Br1 0.500 0.500 0.000
```

Total magnetic moment = 0.000 μB/f.u.
Calculated volume = 17.46 Å³ per atom

Which of them is the most stable? Correct choice: (i).

(i)
First-principles (PBE) data for crystalline SiP2Br at its relaxed geometry, as listed in Alexandria.

CIF file:
```
data_SiP2Br
_chemical_formula_sum 'Si1 P2 Br1'
_cell_length_a 3.140
_cell_length_b 3.140
_cell_length_c 8.297
_cell_angle_alpha 90.00
_cell_angle_beta 90.00
_cell_angle_gamma 90.00
_space_group_name_H-M_alt 'P 4 m m'
_space_group_IT_number 99
_space_group_name_Hall 'P 4 -2'
loop_
_atom_site_label
_atom_site_fract_x
_atom_site_fract_y
_atom_site_fract_z
Si1 0.000 0.000 0.000
P1 0.000 0.000 0.655
P2 0.500 0.500 0.777
Br1 0.500 0.500 0.216
```

Total magnetic moment = 0.000 μB/f.u.
Calculated volume = 20.46 Å³ per atom

(ii)
First-principles (PBE) data for crystalline SiP2Br at its relaxed geometry, as listed in Alexandria.

CIF file:
```
data_SiP2Br
_chemical_formula_sum 'Si1 P2 Br1'
_cell_length_a 4.456
_cell_length_b 3.298
_cell_length_c 6.986
_cell_angle_alpha 90.00
_cell_angle_beta 98.32
_cell_angle_gamma 90.00
_space_group_name_H-M_alt 'P 1 m 1'
_space_group_IT_number 6
_space_group_name_Hall 'P -2y'
loop_
_atom_site_label
_atom_site_fract_x
_atom_site_fract_y
_atom_site_fract_z
Si1 0.000 0.000 0.000
P1 0.421 0.000 0.246
P2 0.718 0.500 0.165
Br1 0.121 0.500 0.753
```

Total magnetic moment = 0.000 μB/f.u.
Calculated volume = 25.39 Å³ per atom

(iii)
First-principles (PBE) data for crystalline SiP2Br at its relaxed geometry, as listed in Alexandria.

CIF file:
```
data_SiP2Br
_chemical_formula_sum 'Si2 P4 Br2'
_cell_length_a 5.195
_cell_length_b 7.658
_cell_length_c 4.616
_cell_angle_alpha 90.00
_cell_angle_beta 124.06
_cell_angle_gamma 90.00
_space_group_name_H-M_alt 'C 1 2/m 1'
_space_group_IT_number 12
_space_group_name_Hall '-C 2y'
loop_
_atom_site_label
_atom_site_fract_x
_atom_site_fract_y
_atom_site_fract_z
Si1 0.000 0.000 0.000
P1 0.250 0.250 0.500
Br1 0.000 0.500 0.000
```

Total magnetic moment = 0.000 μB/f.u.
Calculated volume = 19.01 Å³ per atom

(iv)
First-principles (PBE) data for crystalline SiP2Br at its relaxed geometry, as listed in Alexandria.

CIF file:
```
data_SiP2Br
_chemical_formula_sum 'Si3 P6 Br3'
_cell_length_a 3.6722
_cell_length_b 3.6722
_cell_length_c 19.4497
_cell_angle_alpha 90.00
_cell_angle_beta 90.00
_cell_angle_gamma 120.00
_space_group_name_H-M_alt 'R -3 m'
_space_group_IT_number 166
_space_group_name_Hall '-R 3 2"'
loop_
_atom_site_label
_atom_site_fract_x
_atom_site_fract_y
_atom_site_fract_z
Si1 0.0000 0.0000 0.0000
P1 0.0000 0.0000 0.2738
Br1 0.0000 0.0000 0.5000
```

Total magnetic moment = 0.000 μB/f.u.
Calculated volume = 18.93 Å³ per atom

Which of them is the most stable? Correct choice: (ii).

(i)
First-principles (PBE) data for crystalline SiP2Br at its relaxed geometry, as listed in Alexandria.

CIF file:
```
data_SiP2Br
_chemical_formula_sum 'Si4 P8 Br4'
_cell_length_a 6.490
_cell_length_b 6.490
_cell_length_c 6.490
_cell_angle_alpha 90.00
_cell_angle_beta 90.00
_cell_angle_gamma 90.00
_space_group_name_H-M_alt 'F m -3 m'
_space_group_IT_number 225
_space_group_name_Hall '-F 4 2 3'
loop_
_atom_site_label
_atom_site_fract_x
_atom_site_fract_y
_atom_site_fract_z
Si1 0.000 0.000 0.000
P1 0.250 0.250 0.250
Br1 0.000 0.000 0.500
```

Total magnetic moment = 0.000 μB/f.u.
Calculated volume = 17.08 Å³ per atom

(ii)
First-principles (PBE) data for crystalline SiP2Br at its relaxed geometry, as listed in Alexandria.

CIF file:
```
data_SiP2Br
_chemical_formula_sum 'Si2 P4 Br2'
_cell_length_a 3.344
_cell_length_b 6.813
_cell_length_c 8.795
_cell_angle_alpha 90.00
_cell_angle_beta 90.00
_cell_angle_gamma 90.00
_space_group_name_H-M_alt 'C m m 2'
_space_group_IT_number 35
_space_group_name_Hall 'C 2 -2'
loop_
_atom_site_label
_atom_site_fract_x
_atom_site_fract_y
_atom_site_fract_z
Si1 0.000 0.000 0.000
P1 0.000 0.000 0.363
P2 0.000 0.500 0.204
Br1 0.000 0.500 0.782
```

Total magnetic moment = 0.000 μB/f.u.
Calculated volume = 25.05 Å³ per atom

(iii)
First-principles (PBE) data for crystalline SiP2Br at its relaxed geometry, as listed in Alexandria.

CIF file:
```
data_SiP2Br
_chemical_formula_sum 'Si1 P2 Br1'
_cell_length_a 3.599
_cell_length_b 3.599
_cell_length_c 6.299
_cell_angle_alpha 90.00
_cell_angle_beta 90.00
_cell_angle_gamma 90.00
_space_group_name_H-M_alt 'P 4/m m m'
_space_group_IT_number 123
_space_group_name_Hall '-P 4 2'
loop_
_atom_site_label
_atom_site_fract_x
_atom_site_fract_y
_atom_site_fract_z
Si1 0.000 0.000 0.000
P1 0.000 0.500 0.500
Br1 0.500 0.500 0.000
```

Total magnetic moment = 0.000 μB/f.u.
Calculated volume = 20.40 Å³ per atom

Which of them is the most stable? Correct choice: (ii).